1.
GaSn3I | PBE | optimized geometry

Geometry as extended XYZ:
```
5
Lattice="5.505 0.000 0.000 0.000 5.505 0.000 0.000 0.000 5.505" Properties=species:S:1:pos:R:3 pbc="T T T"
I 2.753 2.753 2.753
Sn 0.000 2.753 0.000
Sn 0.000 0.000 2.753
Sn 2.753 0.000 0.000
Ga 0.000 0.000 0.000
```

Spin magnetization, μB/cell: 0.00
Formation energy from raw total energies, eV/atom: 0.34

2.
NpMnAlFe | PBE | optimized geometry

Geometry as extended XYZ:
```
4
Lattice="4.370 0.000 0.000 2.185 3.784 0.000 2.185 1.261 3.568" Properties=species:S:1:pos:R:3 pbc="T T T"
Np 6.555 3.784 2.676
Mn 0.000 0.000 0.000
Fe 4.370 2.523 1.784
Al 2.185 1.261 0.892
```

Spin magnetization, μB/cell: 1.32
Calculated total energy, eV/atom: -8.629

3.
TiVIr6 | PBE | optimized geometry

Geometry as extended XYZ:
```
8
Lattice="-0.922 -2.396 -2.862 -0.293 -4.137 3.557 -5.296 1.071 0.809" Properties=species:S:1:pos:R:3 pbc="T T T"
Ti -0.461 -1.198 -1.431
V -3.256 -2.731 0.752
Ir -1.562 -2.816 2.861
Ir -4.028 -0.249 1.506
Ir -4.172 -2.288 3.259
Ir -1.417 -0.777 1.107
Ir -0.608 -3.266 0.348
Ir -3.109 -0.662 -1.027
```

Spin magnetization, μB/cell: 0.00
Calculated total energy, eV/atom: -9.379

4.
Fe2CoC | PBE | optimized geometry

Geometry as extended XYZ:
```
4
Lattice="-1.180 0.917 2.299 0.481 -1.263 2.386 4.583 3.595 2.555" Properties=species:S:1:pos:R:3 pbc="T T T"
Fe 3.721 2.930 2.377
Fe 0.601 0.527 1.733
Co 1.946 1.627 3.620
C -0.442 -0.212 3.128
```

Spin magnetization, μB/cell: 4.97
Calculated total energy, eV/atom: -8.133

5.
Tl6CdHg8 | PBE | optimized geometry

Geometry as extended XYZ:
```
15
Lattice="7.658 0.000 4.019 2.774 7.137 4.019 0.311 0.213 8.712" Properties=species:S:1:pos:R:3 pbc="T T T"
Tl 3.346 1.002 9.161
Tl 7.681 2.238 6.260
Tl 4.187 4.595 5.273
Tl 6.557 2.755 11.476
Tl 3.063 5.113 10.489
Tl 7.398 6.348 7.588
Cd 0.000 0.000 0.000
Hg 4.603 1.510 6.195
Hg 6.582 0.812 8.980
Hg 2.273 3.607 7.723
Hg 7.615 5.210 13.405
Hg 3.129 2.141 3.343
Hg 8.471 3.743 9.026
Hg 4.161 6.539 7.769
Hg 6.140 5.841 10.554
```

Spin magnetization, μB/cell: 0.00
Calculated total energy, eV/atom: -1.139

6.
Dy2CuSe | PBE | optimized geometry

Geometry as extended XYZ:
```
4
Lattice="-2.676 0.997 2.727 0.630 -0.877 3.798 2.546 6.248 3.073" Properties=species:S:1:pos:R:3 pbc="T T T"
Cu 0.000 0.000 0.000
Se 0.250 3.184 4.799
Dy 0.106 1.556 2.394
Dy 0.393 4.811 7.204
```

Spin magnetization, μB/cell: 0.00
Formation energy from raw total energies, eV/atom: -0.93